[1]
Material: TaP2PdO
Method: DFT, meta-GGA SCAN
State: single point on PBEsol structure

energy relative to the elements, uncorrected	58.4	kJ/mol of atoms
raw total energy	-24.67	eV/atom

Unit cell a=4.5734 b=4.5734 c=3.7342 alpha=90.00 beta=90.00 gamma=90.00
Closest atoms and distances in Å follow each position.
Space group P4/mmm (No. 123)
One atom of each set of equivalent atoms:
Ta 0.0000 0.0000 0.0000  8 P 2.95, 4 O 3.23
P 0.0000 0.5000 0.5000  2 Pd 2.29
Pd 0.5000 0.5000 0.5000  2 O 1.87
O 0.5000 0.5000 0.0000  2 Pd 1.87

---

[2]
Material: YP2PdO
Method: DFT, meta-GGA SCAN
State: single point on PBEsol structure

energy relative to the elements, uncorrected	-42.6	kJ/mol of atoms
energy above the most stable polymorph in this dataset	0.000	eV/f.u.
raw total energy	-17.97	eV/atom

Unit cell a=4.6508 b=4.6508 c=3.9652 alpha=90.00 beta=90.00 gamma=90.00
Closest atoms and distances in Å follow each position.
Space group P4/mmm (No. 123)
One atom of each set of equivalent atoms:
Y 0.0000 0.0000 0.0000  8 P 3.06, 4 O 3.29
P 0.0000 0.5000 0.5000  2 Pd 2.33
Pd 0.5000 0.5000 0.5000  2 O 1.98
O 0.5000 0.5000 0.0000  2 Pd 1.98

---

[3]
Material: YP2PdO
Method: DFT, meta-GGA SCAN
State: single point on PBEsol structure

energy relative to the elements, uncorrected	18.9	kJ/mol of atoms
energy above the most stable polymorph in this dataset	3.185	eV/f.u.
raw total energy	-17.33	eV/atom

Unit cell a=5.2598 b=5.2598 c=4.0045 alpha=90.00 beta=90.00 gamma=90.00
Closest atoms and distances in Å follow each position.
Space group P4/mmm (No. 123)
One atom of each set of equivalent atoms:
Y 0.0000 0.0000 0.0000  2 O 2.00
P 0.0000 0.5000 0.0000  2 Y 2.63
Pd 0.5000 0.5000 0.5000  8 P 3.31
O 0.0000 0.0000 0.5000  2 Y 2.00

---

> raw total energy of number 3 (YP2PdO)?

-17.33 eV/atom

---

> The highest energy relative to the elements, uncorrected belongs to which entry?

TaP2PdO

---

> Which of these has the highest raw total energy?

number 3

---

Copy entry 1 word for word.
Material: TaP2PdO
Method: DFT, meta-GGA SCAN
State: single point on PBEsol structure

energy relative to the elements, uncorrected	58.4	kJ/mol of atoms
raw total energy	-24.67	eV/atom

Unit cell a=4.5734 b=4.5734 c=3.7342 alpha=90.00 beta=90.00 gamma=90.00
Closest atoms and distances in Å follow each position.
Space group P4/mmm (No. 123)
One atom of each set of equivalent atoms:
Ta 0.0000 0.0000 0.0000  8 P 2.95, 4 O 3.23
P 0.0000 0.5000 0.5000  2 Pd 2.29
Pd 0.5000 0.5000 0.5000  2 O 1.87
O 0.5000 0.5000 0.0000  2 Pd 1.87